Density functional theory data (PBE) for an optimized crystal structure of In2TcH.

Cell: 5.513 5.513 5.513 Å, 104.06 104.06 120.93°
Fractional positions:
In  0.052  0.625  0.927
In  0.375  0.302  0.427
In  0.698  0.125  0.073
In  0.875  0.948  0.573
Tc  0.250  0.750  0.500
Tc  0.500  0.500  0.000
H  0.000  0.000  0.000
H  0.750  0.250  0.500

electronic total energy: -4.2514 eV per atom